[1]
The following is a GGA-PBE calculation of CaPb2Br6 after structural relaxation, from Alexandria via LeMat-Bulk.

The spin magnetization is 0.0 μB/f.u. Its raw formation energy is -1107 kJ/mol of formula units. The value obtained for the volume is 37.80 Å³/atom. For the excess energy over the best structure of this formula in the dataset, the calculation gives 16 meV per atom.

It has space group P4_2/mnm (No. 136), with a = 7.063 Å, b = 7.063 Å, c = 13.637 Å, α = 90.00°, β = 90.00° and γ = 90.00°. The inequivalent atoms are Ca at (0.000, 0.000, 0.000), Pb at (0.000, 0.000, 0.333), Br at (0.194, 0.194, 0.161) and Br at (0.205, 0.205, 0.500).

=====

[2]
The following is a GGA-PBE calculation of NdThBiTe after structural relaxation, from Alexandria via LeMat-Bulk.

The spin magnetization is 0.1 μB/f.u. Its raw formation energy is -351 kJ/mol of formula units. The value obtained for the volume is 29.91 Å³/atom. For the excess energy over the best structure of this formula in the dataset, the calculation gives 75 meV per atom.

It has space group F-43m (No. 216), with a = 7.822 Å, b = 7.822 Å, c = 7.822 Å, α = 90.00°, β = 90.00° and γ = 90.00°. The inequivalent atoms are Nd at (0.000, 0.000, 0.000), Th at (0.000, 0.000, 0.500), Bi at (0.250, 0.250, 0.250) and Te at (0.250, 0.250, 0.750).

=====

[3]
The following is a GGA-PBE calculation of Ho3Tm4Se8 after structural relaxation, from Alexandria via LeMat-Bulk.

The spin magnetization is 0.0 μB/f.u. Its raw formation energy is -2589 kJ/mol of formula units. The value obtained for the volume is 24.53 Å³/atom.

It has space group C2/m (No. 12), with a = 11.372 Å, b = 11.374 Å, c = 8.039 Å, α = 90.00°, β = 134.96° and γ = 90.00°. The inequivalent atoms are Ho at (0.000, 0.000, 0.000), Ho at (0.250, 0.250, 0.000), Tm at (0.000, 0.500, 0.000), Tm at (0.000, 0.500, 0.500), Tm at (0.250, 0.250, 0.500), Se at (0.000, 0.247, 0.500), Se at (0.000, 0.251, 0.000), Se at (0.248, 0.000, 0.502) and Se at (0.249, 0.000, 0.995).

=====

[4]
The following is a GGA-PBE calculation of PmErTlAu after structural relaxation, from Alexandria via LeMat-Bulk.

The spin magnetization is 0.0 μB/f.u. The value obtained for the volume is 26.14 Å³/atom. For the excess energy over the best structure of this formula in the dataset, the calculation gives 62 meV per atom.

It has space group F-43m (No. 216), with a = 7.479 Å, b = 7.479 Å, c = 7.479 Å, α = 90.00°, β = 90.00° and γ = 90.00°. The inequivalent atoms are Pm at (0.000, 0.000, 0.000), Er at (0.000, 0.000, 0.500), Tl at (0.250, 0.250, 0.250) and Au at (0.250, 0.250, 0.750).

=====

Record-wise VASP energy values, in eV for the cell shown: -61.85, -91.38, -172.66, -68.53